# 1
The following is a DFT calculation (PBE-GGA) of crystalline Ba2Si at its relaxed geometry.

Unit cell a=5.113 b=5.113 c=6.704 alpha=90.00 beta=90.00 gamma=120.00
Sites, in units of the cell vectors:
Ba (0.333, 0.667, 0.774)
Ba (0.667, 0.333, 0.226)
Si (0.000, 0.000, 0.000)

Results
* magnetic moment: 0.000 μB per cell
* ΔE_f (raw): -120 meV/atom
* volume: 50.59 Å³/atom

---

# 2
The following is a DFT calculation (PBE-GGA) of crystalline BaSi2 at its relaxed geometry.

Unit cell a=7.759 b=7.759 c=7.759 alpha=90.00 beta=90.00 gamma=90.00
Sites, in units of the cell vectors:
Si (0.079, 0.579, 0.079)
Ba (0.500, 0.000, 0.500)
Si (0.921, 0.079, 0.421)
Si (0.579, 0.921, 0.921)
Si (0.421, 0.421, 0.579)
Ba (0.500, 0.500, 0.000)
Ba (0.000, 0.500, 0.500)
Si (0.421, 0.079, 0.079)
Si (0.579, 0.579, 0.421)
Si (0.079, 0.921, 0.579)
Ba (0.000, 0.000, 0.000)
Si (0.921, 0.421, 0.921)

Results
* magnetic moment: 0.000 μB per cell
* ΔE_f (raw): 300 meV/atom
* volume: 38.92 Å³/atom

---

# 3
The following is a DFT calculation (PBE-GGA) of crystalline Ba2Si at its relaxed geometry.

Unit cell a=5.399 b=8.536 c=10.180 alpha=90.00 beta=90.00 gamma=90.00
Sites, in units of the cell vectors:
Ba (0.750, 0.144, 0.082)
Ba (0.750, 0.022, 0.670)
Ba (0.250, 0.856, 0.918)
Ba (0.750, 0.644, 0.418)
Si (0.750, 0.750, 0.103)
Ba (0.250, 0.978, 0.330)
Si (0.250, 0.750, 0.603)
Si (0.250, 0.250, 0.897)
Si (0.750, 0.250, 0.397)
Ba (0.250, 0.478, 0.170)
Ba (0.250, 0.356, 0.582)
Ba (0.750, 0.522, 0.830)

Results
* magnetic moment: 0.000 μB per cell
* ΔE_f (raw): -312 meV/atom
* volume: 39.10 Å³/atom

---

# 4
The following is a DFT calculation (PBE-GGA) of crystalline BaSi2 at its relaxed geometry.

Unit cell a=5.169 b=5.169 c=5.169 alpha=60.00 beta=60.00 gamma=60.00
Sites, in units of the cell vectors:
Si (0.250, 0.250, 0.250)
Si (0.750, 0.750, 0.750)
Ba (0.000, 0.000, 0.000)

Results
* magnetic moment: 0.000 μB per cell
* ΔE_f (raw): 790 meV/atom
* volume: 32.54 Å³/atom

---

# 5
The following is a DFT calculation (PBE-GGA) of crystalline Ba3Si at its relaxed geometry.

Unit cell a=7.538 b=8.576 c=11.644 alpha=90.00 beta=90.00 gamma=90.00
Sites, in units of the cell vectors:
Ba (0.189, 0.328, 0.072)
Si (0.052, 0.605, 0.250)
Ba (0.689, 0.172, 0.928)
Si (0.552, 0.895, 0.750)
Si (0.448, 0.105, 0.250)
Ba (0.811, 0.672, 0.572)
Ba (0.189, 0.328, 0.428)
Ba (0.311, 0.828, 0.072)
Ba (0.311, 0.828, 0.428)
Ba (0.861, 0.959, 0.250)
Ba (0.689, 0.172, 0.572)
Si (0.948, 0.395, 0.750)
Ba (0.139, 0.041, 0.750)
Ba (0.639, 0.459, 0.250)
Ba (0.811, 0.672, 0.928)
Ba (0.361, 0.541, 0.750)

Results
* excess energy over the best structure of this formula in the dataset: 0.00 kJ per mole of atoms
* magnetic moment: 0.000 μB per cell
* ΔE_f (raw): -178 meV/atom
* volume: 47.05 Å³/atom

---

# 6
The following is a DFT calculation (PBE-GGA) of crystalline Ba4Si at its relaxed geometry.

Unit cell a=6.898 b=6.898 c=6.898 alpha=109.47 beta=109.47 gamma=109.47
Sites, in units of the cell vectors:
Ba (0.000, 0.000, 0.500)
Ba (0.500, 0.000, 0.000)
Ba (0.500, 0.500, 0.500)
Si (0.000, 0.000, 0.000)
Ba (0.000, 0.500, 0.000)

Results
* excess energy over the best structure of this formula in the dataset: 3.80 kJ per mole of atoms
* magnetic moment: 0.000 μB per cell
* ΔE_f (raw): -3 meV/atom
* volume: 50.53 Å³/atom

---

# 7
The following is a DFT calculation (PBE-GGA) of crystalline Ba7Si6 at its relaxed geometry.

Unit cell a=11.465 b=11.465 c=11.465 alpha=40.78 beta=40.78 gamma=40.78
Sites, in units of the cell vectors:
Ba (0.424, 0.424, 0.946)
Ba (0.576, 0.054, 0.576)
Ba (0.054, 0.576, 0.576)
Si (0.336, 0.336, 0.336)
Si (0.168, 0.168, 0.168)
Si (0.099, 0.099, 0.099)
Si (0.901, 0.901, 0.901)
Ba (0.500, 0.500, 0.500)
Ba (0.424, 0.946, 0.424)
Ba (0.946, 0.424, 0.424)
Si (0.832, 0.832, 0.832)
Ba (0.576, 0.576, 0.054)
Si (0.664, 0.664, 0.664)

Results
* magnetic moment: 0.000 μB per cell
* ΔE_f (raw): 271 meV/atom
* volume: 44.62 Å³/atom

---

# 8
The following is a DFT calculation (PBE-GGA) of crystalline Ba4Si at its relaxed geometry.

Unit cell a=11.786 b=11.786 c=11.786 alpha=157.04 beta=157.04 gamma=32.70
Sites, in units of the cell vectors:
Ba (0.577, 0.577, 0.000)
Ba (0.750, 0.250, 0.500)
Ba (0.423, 0.423, 0.000)
Si (0.000, 0.000, 0.000)
Ba (0.250, 0.750, 0.500)

Results
* excess energy over the best structure of this formula in the dataset: 43.10 kJ per mole of atoms
* magnetic moment: 0.322 μB per cell
* ΔE_f (raw): 404 meV/atom
* volume: 49.79 Å³/atom

---

# 9
The following is a DFT calculation (PBE-GGA) of crystalline Ba2Si at its relaxed geometry.

Unit cell a=5.634 b=5.634 c=3.672 alpha=90.00 beta=90.00 gamma=120.00
Sites, in units of the cell vectors:
Ba (0.333, 0.667, 0.000)
Ba (0.667, 0.333, 0.000)
Si (0.000, 0.000, 0.500)

Results
* magnetic moment: 0.000 μB per cell
* ΔE_f (raw): 151 meV/atom
* volume: 33.65 Å³/atom

---

# 10
The following is a DFT calculation (PBE-GGA) of crystalline Ba3Si at its relaxed geometry.

Unit cell a=4.136 b=4.136 c=11.080 alpha=90.00 beta=90.00 gamma=89.97
Sites, in units of the cell vectors:
Si (0.500, 0.500, 0.250)
Ba (0.500, 0.500, 0.750)
Ba (0.000, 0.000, 0.088)
Ba (0.000, 0.000, 0.412)

Results
* excess energy over the best structure of this formula in the dataset: 8.69 kJ per mole of atoms
* magnetic moment: 0.593 μB per cell
* ΔE_f (raw): -88 meV/atom
* volume: 47.37 Å³/atom

---

# 11
The following is a DFT calculation (PBE-GGA) of crystalline Ba3Si at its relaxed geometry.

Unit cell a=4.507 b=4.268 c=11.135 alpha=90.00 beta=90.00 gamma=90.00
Sites, in units of the cell vectors:
Ba (0.500, 0.500, 0.107)
Si (0.000, 0.000, 0.991)
Ba (0.500, 0.000, 0.779)
Ba (0.000, 0.500, 0.457)

Results
* excess energy over the best structure of this formula in the dataset: 24.55 kJ per mole of atoms
* magnetic moment: 0.209 μB per cell
* ΔE_f (raw): 77 meV/atom
* volume: 53.55 Å³/atom

---

# 12
The following is a DFT calculation (PBE-GGA) of crystalline BaSi8 at its relaxed geometry.

Unit cell a=6.635 b=6.635 c=6.635 alpha=97.64 beta=97.64 gamma=137.22
Sites, in units of the cell vectors:
Si (0.726, 0.274, 0.000)
Si (0.369, 0.000, 0.369)
Si (0.274, 0.274, 0.548)
Si (0.631, 0.000, 0.631)
Ba (0.000, 0.000, 0.000)
Si (0.000, 0.631, 0.631)
Si (0.274, 0.726, 0.000)
Si (0.000, 0.369, 0.369)
Si (0.726, 0.726, 0.452)

Results
* magnetic moment: 0.000 μB per cell
* ΔE_f (raw): 314 meV/atom
* volume: 20.53 Å³/atom

---

# 13
The following is a DFT calculation (PBE-GGA) of crystalline Ba2Si at its relaxed geometry.

Unit cell a=8.791 b=8.791 c=5.204 alpha=90.00 beta=90.00 gamma=120.00
Sites, in units of the cell vectors:
Si (0.333, 0.667, 0.000)
Ba (0.737, 0.737, 0.000)
Si (0.667, 0.333, 0.000)
Ba (0.592, 0.000, 0.500)
Ba (0.263, 0.000, 0.000)
Ba (0.000, 0.263, 0.000)
Ba (0.408, 0.408, 0.500)
Ba (0.000, 0.592, 0.500)
Si (0.000, 0.000, 0.500)

Results
* magnetic moment: 0.000 μB per cell
* ΔE_f (raw): -283 meV/atom
* volume: 38.70 Å³/atom

---

# 14
The following is a DFT calculation (PBE-GGA) of crystalline BaSi2 at its relaxed geometry.

Unit cell a=6.767 b=6.767 c=6.767 alpha=90.00 beta=90.00 gamma=90.00
Sites, in units of the cell vectors:
Ba (0.375, 0.375, 0.375)
Si (0.832, 0.332, 0.168)
Si (0.332, 0.168, 0.832)
Si (0.582, 0.418, 0.918)
Si (0.418, 0.918, 0.582)
Ba (0.625, 0.875, 0.125)
Si (0.168, 0.832, 0.332)
Ba (0.125, 0.625, 0.875)
Si (0.082, 0.082, 0.082)
Si (0.918, 0.582, 0.418)
Ba (0.875, 0.125, 0.625)
Si (0.668, 0.668, 0.668)

Results
* magnetic moment: 0.000 μB per cell
* ΔE_f (raw): -347 meV/atom
* volume: 25.82 Å³/atom

---

# 15
The following is a DFT calculation (PBE-GGA) of crystalline BaSi7 at its relaxed geometry.

Unit cell a=6.022 b=6.022 c=6.022 alpha=60.00 beta=60.00 gamma=60.00
Sites, in units of the cell vectors:
Si (0.000, 0.000, 0.500)
Si (0.000, 0.500, 0.000)
Si (0.500, 0.500, 0.500)
Ba (0.000, 0.000, 0.000)
Si (0.500, 0.000, 0.000)
Si (0.000, 0.500, 0.500)
Si (0.500, 0.500, 0.000)
Si (0.500, 0.000, 0.500)

Results
* magnetic moment: 0.000 μB per cell
* ΔE_f (raw): 713 meV/atom
* volume: 19.30 Å³/atom

---

# 16
The following is a DFT calculation (PBE-GGA) of crystalline Ba3Si at its relaxed geometry.

Unit cell a=8.868 b=8.868 c=8.868 alpha=153.26 beta=141.87 gamma=47.18
Sites, in units of the cell vectors:
Ba (0.410, 0.410, 0.000)
Ba (0.090, 0.090, 0.000)
Si (0.250, 0.750, 0.500)
Ba (0.750, 0.250, 0.500)

Results
* excess energy over the best structure of this formula in the dataset: 5.61 kJ per mole of atoms
* magnetic moment: 0.000 μB per cell
* ΔE_f (raw): -120 meV/atom
* volume: 48.28 Å³/atom

---

# 17
The following is a DFT calculation (PBE-GGA) of crystalline BaSi23 at its relaxed geometry.

Unit cell a=10.274 b=10.274 c=10.274 alpha=90.00 beta=90.00 gamma=90.00
Sites, in units of the cell vectors:
Si (0.810, 0.500, 0.617)
Si (0.500, 0.383, 0.190)
Si (0.685, 0.685, 0.315)
Si (0.500, 0.383, 0.810)
Si (0.185, 0.815, 0.185)
Si (0.815, 0.815, 0.815)
Si (0.690, 0.117, 0.000)
Si (0.810, 0.500, 0.383)
Si (0.383, 0.810, 0.500)
Si (0.617, 0.190, 0.500)
Si (0.815, 0.185, 0.815)
Si (0.685, 0.315, 0.685)
Si (0.815, 0.815, 0.185)
Si (0.690, 0.883, 0.000)
Ba (0.500, 0.500, 0.500)
Si (0.315, 0.315, 0.315)
Si (0.000, 0.500, 0.750)
Si (0.383, 0.190, 0.500)
Si (0.117, 0.000, 0.310)
Si (0.617, 0.810, 0.500)
Si (0.185, 0.185, 0.185)
Si (0.185, 0.185, 0.815)
Si (0.500, 0.617, 0.190)
Si (0.315, 0.685, 0.315)
Si (0.883, 0.000, 0.690)
Si (0.883, 0.000, 0.310)
Si (0.315, 0.685, 0.685)
Si (0.190, 0.500, 0.617)
Si (0.500, 0.750, 0.000)
Si (0.500, 0.617, 0.810)
Si (0.250, 0.000, 0.500)
Si (0.190, 0.500, 0.383)
Ba (0.000, 0.000, 0.000)
Si (0.000, 0.500, 0.250)
Si (0.117, 0.000, 0.690)
Si (0.750, 0.000, 0.500)
Si (0.815, 0.185, 0.185)
Si (0.000, 0.310, 0.883)
Si (0.310, 0.883, 0.000)
Si (0.310, 0.117, 0.000)
Si (0.315, 0.315, 0.685)
Si (0.000, 0.310, 0.117)
Si (0.000, 0.690, 0.117)
Si (0.685, 0.315, 0.315)
Si (0.000, 0.690, 0.883)
Si (0.500, 0.250, 0.000)
Si (0.685, 0.685, 0.685)
Si (0.185, 0.815, 0.815)

Results
* magnetic moment: 0.000 μB per cell
* ΔE_f (raw): 39 meV/atom
* volume: 22.59 Å³/atom

---

# 18
The following is a DFT calculation (PBE-GGA) of crystalline Ba3Si at its relaxed geometry.

Unit cell a=6.040 b=6.040 c=6.040 alpha=60.00 beta=60.00 gamma=60.00
Sites, in units of the cell vectors:
Ba (0.000, 0.000, 0.000)
Ba (0.250, 0.250, 0.250)
Si (0.750, 0.750, 0.750)
Ba (0.500, 0.500, 0.500)

Results
* excess energy over the best structure of this formula in the dataset: 30.97 kJ per mole of atoms
* magnetic moment: 0.264 μB per cell
* ΔE_f (raw): 143 meV/atom
* volume: 38.96 Å³/atom

---

# 19
The following is a DFT calculation (PBE-GGA) of crystalline Ba5Si at its relaxed geometry.

Unit cell a=7.843 b=7.843 c=10.618 alpha=66.57 beta=66.57 gamma=32.18
Sites, in units of the cell vectors:
Ba (0.925, 0.925, 0.005)
Ba (0.652, 0.652, 0.144)
Ba (0.305, 0.305, 0.389)
Ba (0.686, 0.686, 0.773)
Si (0.306, 0.306, 0.889)
Ba (0.959, 0.959, 0.633)

Results
* excess energy over the best structure of this formula in the dataset: 0.00 kJ per mole of atoms
* magnetic moment: 0.001 μB per cell
* ΔE_f (raw): -76 meV/atom
* volume: 52.77 Å³/atom

---

# 20
The following is a DFT calculation (PBE-GGA) of crystalline Ba3Si5 at its relaxed geometry.

Unit cell a=10.556 b=10.556 c=4.750 alpha=90.00 beta=90.00 gamma=120.00
Sites, in units of the cell vectors:
Si (0.000, 0.863, 0.750)
Ba (0.352, 0.000, 0.750)
Ba (0.352, 0.352, 0.250)
Ba (0.648, 0.648, 0.750)
Si (0.137, 0.137, 0.750)
Si (0.863, 0.863, 0.250)
Si (0.000, 0.137, 0.250)
Si (0.863, 0.000, 0.750)
Si (0.667, 0.333, 0.000)
Si (0.137, 0.000, 0.250)
Ba (0.000, 0.648, 0.250)
Si (0.333, 0.667, 0.000)
Ba (0.000, 0.352, 0.750)
Si (0.333, 0.667, 0.500)
Ba (0.648, 0.000, 0.250)
Si (0.667, 0.333, 0.500)

Results
* excess energy over the best structure of this formula in the dataset: 0.00 kJ per mole of atoms
* magnetic moment: 0.000 μB per cell
* ΔE_f (raw): -230 meV/atom
* volume: 28.65 Å³/atom

---

# 21
The following is a DFT calculation (PBE-GGA) of crystalline Ba3Si at its relaxed geometry.

Unit cell a=7.772 b=7.772 c=12.115 alpha=90.00 beta=90.00 gamma=120.00
Sites, in units of the cell vectors:
Ba (0.305, 0.153, 0.250)
Ba (0.000, 0.500, 0.500)
Ba (0.847, 0.695, 0.250)
Si (0.333, 0.667, 0.250)
Ba (0.500, 0.500, 0.000)
Ba (0.500, 0.000, 0.500)
Si (0.000, 0.000, 0.500)
Ba (0.500, 0.000, 0.000)
Ba (0.500, 0.500, 0.500)
Si (0.000, 0.000, 0.000)
Ba (0.847, 0.153, 0.250)
Ba (0.153, 0.305, 0.750)
Ba (0.695, 0.847, 0.750)
Ba (0.153, 0.847, 0.750)
Ba (0.000, 0.500, 0.000)
Si (0.667, 0.333, 0.750)

Results
* excess energy over the best structure of this formula in the dataset: 14.31 kJ per mole of atoms
* magnetic moment: 0.000 μB per cell
* ΔE_f (raw): -30 meV/atom
* volume: 39.61 Å³/atom

---

# 22
The following is a DFT calculation (PBE-GGA) of crystalline Ba3Si at its relaxed geometry.

Unit cell a=7.538 b=7.538 c=7.538 alpha=144.76 beta=118.37 gamma=73.03
Sites, in units of the cell vectors:
Ba (0.388, 0.332, 0.056)
Ba (0.010, 0.500, 0.510)
Si (0.712, 0.000, 0.712)
Ba (0.724, 0.668, 0.056)

Results
* excess energy over the best structure of this formula in the dataset: 7.21 kJ per mole of atoms
* magnetic moment: 0.000 μB per cell
* ΔE_f (raw): -103 meV/atom
* volume: 53.39 Å³/atom

---

# 23
The following is a DFT calculation (PBE-GGA) of crystalline Ba3Si at its relaxed geometry.

Unit cell a=5.418 b=5.410 c=5.454 alpha=90.00 beta=90.00 gamma=90.00
Sites, in units of the cell vectors:
Ba (0.000, 0.000, 0.949)
Si (0.000, 0.500, 0.423)
Ba (0.500, 0.500, 0.880)
Ba (0.500, 0.000, 0.415)

Results
* excess energy over the best structure of this formula in the dataset: 16.93 kJ per mole of atoms
* magnetic moment: 0.000 μB per cell
* ΔE_f (raw): -2 meV/atom
* volume: 39.97 Å³/atom